# 1
First-principles (PBE) data for a geometry-optimized TaCu2Hg structure, as listed in Alexandria.

Properties
V = 64.2 Å³/cell
Mass density = 13.16 g/cm3
Formation energy from the elements = 171 meV per atom
Fermi-level density of states = 0.7252 states/eV/atom

Lattice parameters (Å, degrees): 2.8923 2.8923 7.6722 90.00 90.00 90.00
Atoms (fractional coordinates):
Ta  0.0000  0.0000  0.0000
Cu  0.5000  0.5000  0.2393
Cu  0.5000  0.5000  0.7607
Hg  0.0000  0.0000  0.5000

=====

# 2
First-principles (PBE) data for a geometry-optimized Tm4InIr2 structure, as listed in Alexandria.

Properties
V = 178.1 Å³/cell
Mass density = 10.95 g/cm3
Formation energy from the elements = -653 meV per atom
Fermi-level density of states = 0.7515 states/eV/atom

Lattice parameters (Å, degrees): 10.1660 10.1660 10.1660 26.02 26.02 26.02
Atoms (fractional coordinates):
Tm  0.1078  0.1078  0.1078
Tm  0.2994  0.2994  0.2994
Tm  0.7006  0.7006  0.7006
Tm  0.8922  0.8922  0.8922
In  0.5000  0.5000  0.5000
Ir  0.4021  0.4021  0.4021
Ir  0.5979  0.5979  0.5979

=====

# 3
First-principles (PBE) data for a geometry-optimized TaTc2H structure, as listed in Alexandria.

Properties
V = 102.0 Å³/cell
Mass density = 12.31 g/cm3
Fermi-level density of states = 0.5865 states/eV/atom
Offset from the most stable computed form = 0 meV/atom

Lattice parameters (Å, degrees): 5.2500 5.2500 5.2500 100.88 100.88 128.50
Atoms (fractional coordinates):
Ta  0.0000  0.0000  0.0000
Ta  0.7500  0.2500  0.5000
Tc  0.2304  0.6250  0.1054
Tc  0.3750  0.4804  0.6054
Tc  0.5196  0.1250  0.8946
Tc  0.8750  0.7696  0.3946
H  0.2500  0.7500  0.5000
H  0.5000  0.5000  0.0000

=====

# 4
First-principles (PBE) data for a geometry-optimized Cs4Dy3USe8 structure, as listed in Alexandria.

Properties
V = 531.8 Å³/cell
Mass density = 5.90 g/cm3
Formation energy (no corrections) = -1.58 eV per atom
Fermi-level density of states = 0.6258 states/eV/atom

Lattice parameters (Å, degrees): 9.7320 9.7320 9.7320 52.17 52.17 52.17
Atoms (fractional coordinates):
Cs  0.0000  0.0000  0.0000
Cs  0.0000  0.5000  0.5000
Cs  0.5000  0.0000  0.5000
Cs  0.5000  0.5000  0.0000
Dy  0.0000  0.0000  0.5000
Dy  0.0000  0.5000  0.0000
Dy  0.5000  0.0000  0.0000
U  0.5000  0.5000  0.5000
Se  0.2265  0.7297  0.7297
Se  0.2284  0.2284  0.2284
Se  0.2703  0.2703  0.7735
Se  0.2703  0.7735  0.2703
Se  0.7297  0.2265  0.7297
Se  0.7297  0.7297  0.2265
Se  0.7716  0.7716  0.7716
Se  0.7735  0.2703  0.2703

=====

# 5
First-principles (PBE) data for a geometry-optimized AlOs structure, as listed in Alexandria.

Properties
V = 28.6 Å³/cell
Mass density = 12.63 g/cm3
Formation energy from the elements = -281 meV per atom
Fermi-level density of states = 0.5992 states/eV/atom

Lattice parameters (Å, degrees): 2.8853 2.8853 3.9608 90.00 90.00 120.00
Atoms (fractional coordinates):
Al  0.0000  0.0000  0.0000
Os  0.6667  0.3333  0.5000

=====

# 6
First-principles (PBE) data for a geometry-optimized Li3Ce2CrSe6 structure, as listed in Alexandria.

Properties
V = 273.5 Å³/cell
Mass density = 5.02 g/cm3
Formation energy (no corrections) = -1.31 eV per atom
Fermi-level density of states = 1.1177 states/eV/atom

Lattice parameters (Å, degrees): 6.9969 6.9969 6.8522 99.71 99.71 119.98
Atoms (fractional coordinates):
Li  0.0000  0.0000  0.0000
Li  0.3396  0.6604  0.0000
Li  0.6604  0.3396  0.0000
Ce  0.1681  0.8319  0.5000
Ce  0.8319  0.1681  0.5000
Cr  0.5000  0.5000  0.5000
Se  0.1052  0.4145  0.2464
Se  0.2740  0.2740  0.7442
Se  0.4145  0.1052  0.2464
Se  0.5855  0.8948  0.7536
Se  0.7260  0.7260  0.2558
Se  0.8948  0.5855  0.7536

=====

# 7
First-principles (PBE) data for a geometry-optimized TmAl6Ni structure, as listed in Alexandria.

Properties
V = 154.9 Å³/cell
Mass density = 4.17 g/cm3
Formation energy from the elements = -97 meV per atom
Fermi-level density of states = 0.5018 states/eV/atom

Lattice parameters (Å, degrees): 5.8551 5.8551 5.8551 64.16 64.16 64.16
Atoms (fractional coordinates):
Tm  0.0000  0.0000  0.0000
Al  0.0444  0.6194  0.6194
Al  0.3806  0.3806  0.9556
Al  0.3806  0.9556  0.3806
Al  0.6194  0.0444  0.6194
Al  0.6194  0.6194  0.0444
Al  0.9556  0.3806  0.3806
Ni  0.5000  0.5000  0.5000

=====

# 8
First-principles (PBE) data for a geometry-optimized La2SnI3 structure, as listed in Alexandria.

Properties
V = 552.9 Å³/cell
Mass density = 4.67 g/cm3
Formation energy (no corrections) = -1.22 eV per atom
Fermi-level density of states = 0.0897 states/eV/atom

Lattice parameters (Å, degrees): 10.6284 10.6284 13.7364 119.23 119.23 24.29
Atoms (fractional coordinates):
La  0.0318  0.0318  0.1846
La  0.2010  0.2010  0.1093
La  0.7990  0.7990  0.8907
La  0.9682  0.9682  0.8154
Sn  0.4253  0.4253  0.9741
Sn  0.5747  0.5747  0.0259
I  0.1706  0.1706  0.8443
I  0.2116  0.2116  0.3413
I  0.4672  0.4672  0.6489
I  0.5328  0.5328  0.3511
I  0.7884  0.7884  0.6587
I  0.8294  0.8294  0.1557

=====

# 9
First-principles (PBE) data for a geometry-optimized Zr2ScCd structure, as listed in Alexandria.

Properties
V = 90.6 Å³/cell
Mass density = 6.23 g/cm3
Formation energy from the elements = -52 meV per atom
Fermi-level density of states = 1.3628 states/eV/atom
Offset from the most stable computed form = 67 meV/atom

Lattice parameters (Å, degrees): 3.1817 3.1817 8.9511 90.00 90.00 90.00
Atoms (fractional coordinates):
Zr  0.0000  0.0000  0.2475
Zr  0.0000  0.0000  0.7525
Sc  0.5000  0.5000  0.5000
Cd  0.5000  0.5000  0.0000

=====

# 10
First-principles (PBE) data for a geometry-optimized Ac2Sn3Pt4 structure, as listed in Alexandria.

Properties
V = 415.0 Å³/cell
Mass density = 12.73 g/cm3
Formation energy from the elements = -853 meV per atom
Fermi-level density of states = 0.5348 states/eV/atom

Lattice parameters (Å, degrees): 8.9298 8.9298 7.6156 90.00 90.00 136.90
Atoms (fractional coordinates):
Ac  0.1050  0.8950  0.9143
Ac  0.3950  0.6050  0.4143
Ac  0.6050  0.3950  0.5857
Ac  0.8950  0.1050  0.0857
Sn  0.0000  0.0000  0.5000
Sn  0.0174  0.4826  0.7500
Sn  0.4826  0.0174  0.2500
Sn  0.5000  0.5000  0.0000
Sn  0.5174  0.9826  0.7500
Sn  0.9826  0.5174  0.2500
Pt  0.1730  0.8270  0.5229
Pt  0.1855  0.3145  0.7500
Pt  0.3145  0.1855  0.2500
Pt  0.3270  0.6730  0.0229
Pt  0.6730  0.3270  0.9771
Pt  0.6855  0.8145  0.7500
Pt  0.8145  0.6855  0.2500
Pt  0.8270  0.1730  0.4771

=====

# 11
First-principles (PBE) data for a geometry-optimized PmCd2Sn structure, as listed in Alexandria.

Properties
V = 102.8 Å³/cell
Mass density = 7.89 g/cm3
Formation energy from the elements = -373 meV per atom
Fermi-level density of states = 0.4117 states/eV/atom

Lattice parameters (Å, degrees): 5.8847 5.8847 4.5669 112.63 112.63 45.65
Atoms (fractional coordinates):
Pm  0.0000  0.0000  0.0000
Cd  0.2500  0.2500  0.7499
Cd  0.7500  0.7500  0.2501
Sn  0.5000  0.5000  0.5000

=====

# 12
First-principles (PBE) data for a geometry-optimized TiNbTc structure, as listed in Alexandria.

Properties
V = 97.3 Å³/cell
Mass density = 8.15 g/cm3
Formation energy from the elements = -233 meV per atom
Fermi-level density of states = 1.1872 states/eV/atom
Offset from the most stable computed form = 111 meV/atom

Lattice parameters (Å, degrees): 5.2512 5.2512 5.3708 120.16 120.16 52.49
Atoms (fractional coordinates):
Ti  0.1547  0.1547  0.3290
Ti  0.8453  0.8453  0.6710
Nb  0.5000  0.5000  0.0000
Nb  0.5000  0.5000  0.5000
Tc  0.1696  0.1696  0.8347
Tc  0.8304  0.8304  0.1653

=====

# 13
First-principles (PBE) data for a geometry-optimized La6HgBr8 structure, as listed in Alexandria.

Properties
V = 525.1 Å³/cell
Mass density = 5.29 g/cm3
Formation energy (no corrections) = -1.49 eV per atom
Fermi-level density of states = 0.4673 states/eV/atom

Lattice parameters (Å, degrees): 11.8238 11.8238 11.8238 36.56 36.56 36.56
Atoms (fractional coordinates):
La  0.1079  0.4449  0.7818
La  0.2182  0.8921  0.5551
La  0.4449  0.7818  0.1079
La  0.5551  0.2182  0.8921
La  0.7818  0.1079  0.4449
La  0.8921  0.5551  0.2182
Hg  0.5000  0.5000  0.5000
Br  0.0628  0.7156  0.3891
Br  0.1667  0.1667  0.1667
Br  0.2844  0.6109  0.9372
Br  0.3891  0.0628  0.7156
Br  0.6109  0.9372  0.2844
Br  0.7156  0.3891  0.0628
Br  0.8333  0.8333  0.8333
Br  0.9372  0.2844  0.6109

=====

# 14
First-principles (PBE) data for a geometry-optimized HoTl3Bi3Se8 structure, as listed in Alexandria.

Properties
V = 467.1 Å³/cell
Mass density = 7.24 g/cm3
Formation energy (no corrections) = -0.64 eV per atom
Fermi-level density of states = 0.4911 states/eV/atom

Lattice parameters (Å, degrees): 8.4851 8.4851 8.9434 118.26 118.26 60.04
Atoms (fractional coordinates):
Ho  0.0000  0.0000  0.0000
Tl  0.0000  0.0000  0.5000
Tl  0.0000  0.5000  0.5000
Tl  0.5000  0.0000  0.5000
Bi  0.0000  0.5000  0.0000
Bi  0.5000  0.0000  0.0000
Bi  0.5000  0.5000  0.0000
Se  0.2349  0.2349  0.2171
Se  0.2346  0.7473  0.2169
Se  0.2527  0.7654  0.7831
Se  0.2585  0.2585  0.7753
Se  0.7415  0.7415  0.2247
Se  0.7473  0.2346  0.2169
Se  0.7654  0.2527  0.7831
Se  0.7651  0.7651  0.7829

=====

# 15
First-principles (PBE) data for a geometry-optimized Ho3ThHg2 structure, as listed in Alexandria.

Properties
V = 163.6 Å³/cell
Mass density = 11.45 g/cm3
Formation energy from the elements = -328 meV per atom
Fermi-level density of states = 0.8480 states/eV/atom

Lattice parameters (Å, degrees): 3.6433 3.6433 12.3258 90.00 90.00 90.00
Atoms (fractional coordinates):
Ho  0.0000  0.0000  0.0000
Ho  0.0000  0.0000  0.3079
Ho  0.0000  0.0000  0.6921
Th  0.5000  0.5000  0.5000
Hg  0.5000  0.5000  0.1532
Hg  0.5000  0.5000  0.8468

=====

# 16
First-principles (PBE) data for a geometry-optimized TlCrCuSe2 structure, as listed in Alexandria.

Properties
V = 242.1 Å³/cell
Mass density = 6.56 g/cm3
Formation energy (no corrections) = -0.21 eV per atom
Fermi-level density of states = 0.4750 states/eV/atom

Lattice parameters (Å, degrees): 7.8593 5.4949 6.0737 90.00 112.66 90.00
Atoms (fractional coordinates):
Tl  0.0000  0.2225  0.2500
Tl  0.0000  0.7775  0.7500
Cr  0.5000  0.4999  0.2500
Cr  0.5000  0.5001  0.7500
Cu  0.5000  0.0000  0.0000
Cu  0.5000  0.0000  0.5000
Se  0.2704  0.2888  0.8854
Se  0.2704  0.7112  0.3854
Se  0.7296  0.2888  0.6146
Se  0.7296  0.7112  0.1146

=====

# 17
First-principles (PBE) data for a geometry-optimized KCr2Fe structure, as listed in Alexandria.

Properties
V = 60.5 Å³/cell
Mass density = 5.46 g/cm3
Formation energy from the elements = 1094 meV per atom
Fermi-level density of states = 1.2830 states/eV/atom
Offset from the most stable computed form = 321 meV/atom

Lattice parameters (Å, degrees): 10.0992 10.0992 10.0992 15.05 15.05 15.05
Atoms (fractional coordinates):
K  0.0000  0.0000  0.0000
Cr  0.2317  0.2317  0.2317
Cr  0.7683  0.7683  0.7683
Fe  0.5000  0.5000  0.5000

=====

# 18
First-principles (PBE) data for a geometry-optimized SrY3Ir structure, as listed in Alexandria.

Properties
V = 169.4 Å³/cell
Mass density = 5.36 g/cm3
Formation energy from the elements = -334 meV per atom
Fermi-level density of states = 1.5412 states/eV/atom
Offset from the most stable computed form = 36 meV/atom

Lattice parameters (Å, degrees): 5.5328 5.5328 5.5328 90.00 90.00 90.00
Atoms (fractional coordinates):
Sr  0.0000  0.0000  0.0000
Y  0.0000  0.5000  0.5000
Y  0.5000  0.0000  0.5000
Y  0.5000  0.5000  0.0000
Ir  0.5000  0.5000  0.5000

=====

# 19
First-principles (PBE) data for a geometry-optimized BaTaBr2 structure, as listed in Alexandria.

Properties
V = 125.0 Å³/cell
Mass density = 6.35 g/cm3
Formation energy (no corrections) = 0.10 eV per atom
Fermi-level density of states = 0.9092 states/eV/atom
Offset from the most stable computed form = 324 meV/atom

Lattice parameters (Å, degrees): 6.9193 6.9193 6.9193 141.94 141.94 54.92
Atoms (fractional coordinates):
Ba  0.0000  0.0000  0.0000
Ta  0.7500  0.2500  0.5000
Br  0.2500  0.7500  0.5000
Br  0.5000  0.5000  0.0000

=====

# 20
First-principles (PBE) data for a geometry-optimized Cs2AsPdS4 structure, as listed in Alexandria.

Properties
V = 535.5 Å³/cell
Mass density = 3.57 g/cm3
Formation energy (no corrections) = -0.54 eV per atom
Fermi-level density of states = 0.5219 states/eV/atom

Lattice parameters (Å, degrees): 13.7330 12.2891 7.6663 83.54 62.77 33.69
Atoms (fractional coordinates):
Cs  0.0488  0.0488  0.7012
Cs  0.2988  0.2988  0.9512
Cs  0.7012  0.7012  0.0488
Cs  0.9512  0.9512  0.2988
As  0.3750  0.3750  0.3750
As  0.6250  0.6250  0.6250
Pd  0.1250  0.1250  0.1250
Pd  0.8750  0.8750  0.8750
S  0.0166  0.6428  0.5456
S  0.2951  0.5456  0.6428
S  0.3572  0.9834  0.7049
S  0.4544  0.7049  0.9834
S  0.5456  0.2951  0.0166
S  0.6428  0.0166  0.2951
S  0.7049  0.4544  0.3572
S  0.9834  0.3572  0.4544